[1]
Compound: FeCo2Mo
Source: the Alexandria database
Functional: meta-GGA SCAN
Structure: single point on PBEsol structure

Cell: 4.0647 4.0647 4.0647 Å, 60.00 60.00 60.00°
Fractional positions:
Fe: 0.0000 0.0000 0.0000
Co: 0.2500 0.2500 0.2500
Co: 0.7500 0.7500 0.7500
Mo: 0.5000 0.5000 0.5000

Calculated values
- formation energy (eV per atom) = 0.0432
- space group = Fm-3m (225)
- E (eV/atom) = -21.863

[2]
Compound: BI2N
Source: the Alexandria database
Functional: meta-GGA SCAN
Structure: single point on PBEsol structure

Cell: 5.8351 5.8351 5.8351 Å, 115.11 115.11 98.71°
Fractional positions:
B: 0.0000 0.0000 0.0000
B: 0.7500 0.2500 0.5000
I: 0.1095 0.1250 0.4845
I: 0.3750 0.8905 0.0155
I: 0.6405 0.6250 0.5155
I: 0.8750 0.3595 0.9845
N: 0.2500 0.7500 0.5000
N: 0.5000 0.5000 0.0000

Calculated values
- space group = I-42d (122)
- E (eV/atom) = -20.676

[3]
Compound: Cu4Ag
Source: the Alexandria database
Functional: meta-GGA SCAN
Structure: single point on PBEsol structure

Cell: 4.4981 4.4981 4.4981 Å, 99.61 99.61 131.77°
Fractional positions:
Cu: 0.0943 0.6939 0.7882
Cu: 0.3061 0.0943 0.4004
Cu: 0.6939 0.9057 0.5996
Cu: 0.9057 0.3061 0.2118
Ag: 0.5000 0.5000 0.0000

Calculated values
- formation energy (eV per atom) = 0.0863
- space group = I4/m (87)
- E (eV/atom) = -18.347

- Which formula does entry 2 have?
  BI2N

- E of number 1 (FeCo2Mo)?
  -21.863 eV/atom